Below is Sr4TlAg after structural relaxation, with properties calculated at the GGA-PBE level.

Structure (POSCAR):
```
Sr4TlAg
1.0
-7.019 0.356 -2.152
3.550 -4.968 -6.496
0.177 -4.071 8.349
Tl Ag Sr
2 2 8
Direct
0.615 0.365 0.730
0.385 0.635 0.270
0.248 0.998 0.996
0.752 0.002 0.004
0.013 0.240 0.880
0.649 0.056 0.362
0.351 0.944 0.638
0.633 0.360 0.120
0.213 0.306 0.362
0.787 0.694 0.638
0.987 0.760 0.120
0.367 0.640 0.880
```

space group	C2/c, No. 15
formation energy from the elements	-239	meV/atom

***

Below is Nd6In2Rh after structural relaxation, with properties calculated at the GGA-PBE level.

Structure (POSCAR):
```
Nd6In2Rh
1.0
3.884 0.000 0.000
0.000 8.135 -3.746
0.000 -0.824 8.915
In Nd Rh
2 6 1
Direct
0.000 0.667 0.333
0.000 0.333 0.667
0.500 0.398 0.398
0.500 0.000 0.602
0.000 0.757 0.757
0.000 0.000 0.243
0.500 0.602 0.000
0.000 0.243 0.000
0.500 0.000 0.000
```

space group	P-62m, No. 189
formation energy from the elements	-404	meV/atom

***

Below is ScB4 after structural relaxation, with properties calculated at the GGA-PBE level.

Structure (POSCAR):
```
ScB4
1.0
-0.770 -2.223 -3.127
-2.926 -4.775 4.115
-6.154 3.148 -0.723
B Sc
16 4
Direct
0.202 0.000 0.000
0.798 0.500 0.500
0.500 0.462 0.679
0.202 0.500 0.500
0.500 0.679 0.538
0.798 0.000 0.000
0.500 0.538 0.321
0.500 0.038 0.179
0.500 0.914 0.586
0.500 0.962 0.821
0.500 0.179 0.962
0.500 0.821 0.038
0.500 0.586 0.086
0.500 0.086 0.414
0.500 0.414 0.914
0.500 0.321 0.462
0.000 0.178 0.678
0.000 0.678 0.822
0.000 0.822 0.322
0.000 0.322 0.178
```

space group	P4/mbm, No. 127
formation energy from the elements	-469	meV/atom

***

Below is LaIn2Cu after structural relaxation, with properties calculated at the GGA-PBE level.

Structure (POSCAR):
```
LaIn2Cu
1.0
-3.632 1.362 -2.364
-1.176 -4.653 -0.874
-2.925 -1.749 3.485
In Cu La
2 1 1
Direct
0.000 0.567 0.568
0.000 0.933 0.932
0.500 0.750 0.750
0.500 0.250 0.250
```

space group	Cmmm, No. 65
formation energy from the elements	-269	meV/atom

***

Below is Tb5NdY2Sc after structural relaxation, with properties calculated at the GGA-PBE level.

Structure (POSCAR):
```
Tb5NdY2Sc
1.0
-4.782 0.160 -2.926
2.695 -9.901 0.429
-5.440 -1.098 8.830
Tb Y Nd Sc
10 4 2 2
Direct
0.278 0.556 0.321
0.623 0.245 0.520
0.702 0.404 0.205
0.298 0.596 0.705
0.722 0.444 0.821
0.980 0.961 0.520
0.518 0.036 0.239
0.377 0.755 0.020
0.482 0.964 0.739
0.020 0.039 0.020
0.886 0.773 0.234
0.114 0.227 0.734
0.888 0.777 0.815
0.112 0.223 0.315
0.413 0.827 0.456
0.587 0.173 0.956
0.803 0.606 0.514
0.197 0.394 0.014
```

space group	Cmc2_1, No. 36
formation energy from the elements	167	meV/atom

***

Below is Be4AuCl after structural relaxation, with properties calculated at the GGA-PBE level.

Structure (POSCAR):
```
Be4AuCl
1.0
-2.021 1.143 4.076
-4.084 -1.956 1.224
-0.151 -3.120 3.500
Be Au Cl
4 1 1
Direct
0.626 0.121 0.626
0.121 0.626 0.626
0.626 0.626 0.626
0.626 0.626 0.121
0.000 0.000 0.000
0.250 0.250 0.250
```

space group	F-43m, No. 216
formation energy without anion corrections	2.86	eV per formula unit

***

Below is RbBeCo2Br after structural relaxation, with properties calculated at the GGA-PBE level.

Structure (POSCAR):
```
RbBeCo2Br
1.0
-0.401 -0.612 -4.282
-6.468 -1.321 0.794
-0.924 4.213 -0.515
Rb Co Br Be
1 2 1 1
Direct
0.500 0.500 0.500
0.500 0.000 0.000
0.000 0.000 0.500
0.000 0.500 0.000
0.000 0.000 0.000
```

space group	P4/mmm, No. 123
formation energy without anion corrections	3.24	eV per formula unit

***

Below is Nd4HgGeI2 after structural relaxation, with properties calculated at the GGA-PBE level.

Structure (POSCAR):
```
Nd4HgGeI2
1.0
-0.314 -3.726 2.253
4.479 -3.599 -5.329
4.745 2.963 5.561
Ge Nd I Hg
1 4 2 1
Direct
0.500 0.500 0.000
0.500 0.753 0.783
0.000 0.274 0.791
0.000 0.726 0.209
0.500 0.247 0.217
0.000 0.500 0.500
0.500 0.000 0.500
0.000 0.000 0.000
```

space group	P2/m, No. 10
formation energy without anion corrections	-6.55	eV per formula unit

***

Number 1: E_tot -2.2301 eV/atom. Number 2: E_tot -5.0081 eV/atom. Number 3: E_tot -7.0773 eV/atom. Number 4: E_tot -3.8944 eV/atom. Number 5: E_tot -5.0747 eV/atom. Number 6: E_tot -2.8610 eV/atom. Number 7: E_tot -3.4677 eV/atom. Number 8: E_tot -4.2052 eV/atom.